Record 1
# B5C7, relaxed, DFT PBE
data_B5C7
_chemical_formula_sum 'B5 C7'
_symmetry_space_group_name_H-M 'P 1 m 1'
_symmetry_Int_Tables_number 6
_cell_length_a 4.616
_cell_length_b 2.596
_cell_length_c 6.570
_cell_angle_alpha 90.00
_cell_angle_beta 95.55
_cell_angle_gamma 90.00
loop_
_symmetry_equiv_pos_as_xyz
'x,y,z'
'x,-y,z'
loop_
_atom_site_label
_atom_site_fract_x
_atom_site_fract_y
_atom_site_fract_z
B1 0.000 0.000 0.000
B2 0.083 0.000 0.747
B3 0.419 0.000 0.139
B4 0.718 0.000 0.739
B5 0.855 0.500 0.146
C1 0.247 0.500 0.689
C2 0.252 0.500 0.456
C3 0.409 0.000 0.385
C4 0.522 0.500 0.034
C5 0.536 0.500 0.806
C6 0.765 0.000 0.473
C7 0.909 0.500 0.388
# DFT formation energy	0.3925	eV/atom
# distance to the lowest polymorph of the same formula	0.135	eV/atom

Record 2
# Pm3GePt, relaxed, DFT PBE
data_Pm3GePt
_chemical_formula_sum 'Pm6 Ge2 Pt2'
_symmetry_space_group_name_H-M 'P m m n'
_symmetry_Int_Tables_number 59
_cell_length_a 4.281
_cell_length_b 6.972
_cell_length_c 9.403
_cell_angle_alpha 90.00
_cell_angle_beta 90.00
_cell_angle_gamma 90.00
loop_
_symmetry_equiv_pos_as_xyz
'x,y,z'
'-x,-y,-z'
'-x+1/2,-y+1/2,z'
'x+1/2,y+1/2,-z'
'x+1/2,-y,-z'
'-x+1/2,y,z'
'-x,y+1/2,-z'
'x,-y+1/2,z'
loop_
_atom_site_label
_atom_site_fract_x
_atom_site_fract_y
_atom_site_fract_z
Pm1 0.250 0.015 0.171
Pm2 0.250 0.250 0.565
Ge1 0.250 0.750 0.648
Pt1 0.250 0.250 0.902
# DFT formation energy	-0.7943	eV/atom

Record 3
# Ba6SiO2, relaxed, DFT PBE
data_Ba6SiO2
_chemical_formula_sum 'Ba12 Si2 O4'
_symmetry_space_group_name_H-M 'C 1 2/m 1'
_symmetry_Int_Tables_number 12
_cell_length_a 15.301
_cell_length_b 5.127
_cell_length_c 9.874
_cell_angle_alpha 90.00
_cell_angle_beta 104.23
_cell_angle_gamma 90.00
loop_
_symmetry_equiv_pos_as_xyz
'x,y,z'
'-x,-y,-z'
'-x,y,-z'
'x,-y,z'
'x+1/2,y+1/2,z'
'-x+1/2,-y+1/2,-z'
'-x+1/2,y+1/2,-z'
'x+1/2,-y+1/2,z'
loop_
_atom_site_label
_atom_site_fract_x
_atom_site_fract_y
_atom_site_fract_z
Ba1 0.098 0.000 0.222
Ba2 0.139 0.500 0.580
Ba3 0.195 0.000 0.868
Si1 0.000 0.000 0.500
O1 0.249 0.000 0.144
# formation energy from raw total energies	-1096	meV/atom

Record 4
# LiNbOF2, relaxed, DFT PBE
data_LiNbOF2
_chemical_formula_sum 'Li1 Nb1 O1 F2'
_symmetry_space_group_name_H-M 'P 4/m m m'
_symmetry_Int_Tables_number 123
_symmetry_space_group_name_Hall '-P 4 2'
_cell_length_a 4.325
_cell_length_b 4.325
_cell_length_c 4.000
_cell_angle_alpha 90.00
_cell_angle_beta 90.00
_cell_angle_gamma 90.00
loop_
_atom_site_label
_atom_site_fract_x
_atom_site_fract_y
_atom_site_fract_z
Li1 0.000 0.000 0.000
Nb1 0.500 0.500 0.500
O1 0.500 0.500 0.000
F1 0.000 0.500 0.500
# formation energy from raw total energies	-2120	meV/atom
# distance to the lowest polymorph of the same formula	0.000	eV/atom

Record 5
# MnTcAs2, relaxed, DFT PBE
data_MnTcAs2
_chemical_formula_sum 'Mn1 Tc1 As2'
_symmetry_space_group_name_H-M 'P 4/m m m'
_symmetry_Int_Tables_number 123
_symmetry_space_group_name_Hall '-P 4 2'
_cell_length_a 4.324
_cell_length_b 4.324
_cell_length_c 3.087
_cell_angle_alpha 90.00
_cell_angle_beta 90.00
_cell_angle_gamma 90.00
loop_
_atom_site_label
_atom_site_fract_x
_atom_site_fract_y
_atom_site_fract_z
Mn1 0.000 0.000 0.000
Tc1 0.500 0.500 0.000
As1 0.000 0.500 0.500
# DFT formation energy	0.0184	eV/atom
# distance to the lowest polymorph of the same formula	0.125	eV/atom

Record 6
# Ho8C3Se4S, relaxed, DFT PBE
data_Ho8C3Se4S
_chemical_formula_sum 'Ho24 C9 Se12 S3'
_symmetry_space_group_name_H-M 'R -3 m'
_symmetry_Int_Tables_number 166
_symmetry_space_group_name_Hall '-R 3 2"'
_cell_length_a 7.6095
_cell_length_b 7.6095
_cell_length_c 19.5986
_cell_angle_alpha 90.00
_cell_angle_beta 90.00
_cell_angle_gamma 120.00
loop_
_atom_site_label
_atom_site_fract_x
_atom_site_fract_y
_atom_site_fract_z
Ho1 0.0000 0.0000 0.2350
Ho2 0.0203 0.5101 0.7635
C1 0.0000 0.5000 0.5000
Se1 0.0000 0.0000 0.0000
Se2 0.0000 0.5000 0.0000
S1 0.0000 0.0000 0.5000
# formation energy from raw total energies	-1378	meV/atom

Record 7
# YTm2Hg, relaxed, DFT PBE
data_YTm2Hg
_chemical_formula_sum 'Y2 Tm4 Hg2'
_symmetry_space_group_name_H-M 'I m m m'
_symmetry_Int_Tables_number 71
_symmetry_space_group_name_Hall '-I 2 2'
_cell_length_a 3.740
_cell_length_b 5.311
_cell_length_c 11.317
_cell_angle_alpha 90.00
_cell_angle_beta 90.00
_cell_angle_gamma 90.00
loop_
_atom_site_label
_atom_site_fract_x
_atom_site_fract_y
_atom_site_fract_z
Y1 0.000 0.000 0.000
Tm1 0.000 0.500 0.220
Hg1 0.000 0.000 0.500
# DFT formation energy	-0.2500	eV/atom
# distance to the lowest polymorph of the same formula	0.000	eV/atom

Record 8
# V2Ga2Br, relaxed, DFT PBE
data_V2Ga2Br
_chemical_formula_sum 'V4 Ga4 Br2'
_symmetry_space_group_name_H-M 'P 4/m b m'
_symmetry_Int_Tables_number 127
_symmetry_space_group_name_Hall '-P 4 2ab'
_cell_length_a 7.624
_cell_length_b 7.624
_cell_length_c 3.126
_cell_angle_alpha 90.00
_cell_angle_beta 90.00
_cell_angle_gamma 90.00
loop_
_atom_site_label
_atom_site_fract_x
_atom_site_fract_y
_atom_site_fract_z
V1 0.179 0.321 0.000
Ga1 0.118 0.618 0.500
Br1 0.000 0.000 0.500
# formation energy from raw total energies	418	meV/atom
# distance to the lowest polymorph of the same formula	0.030	eV/atom

Record 9
# Ca2TlSb, relaxed, DFT PBE
data_Ca2TlSb
_chemical_formula_sum 'Ca8 Tl4 Sb4'
_symmetry_space_group_name_H-M 'I -4 2 d'
_symmetry_Int_Tables_number 122
_symmetry_space_group_name_Hall 'I -4 2bw'
_cell_length_a 8.530
_cell_length_b 8.530
_cell_length_c 7.316
_cell_angle_alpha 90.00
_cell_angle_beta 90.00
_cell_angle_gamma 90.00
loop_
_atom_site_label
_atom_site_fract_x
_atom_site_fract_y
_atom_site_fract_z
Ca1 0.235 0.250 0.125
Tl1 0.000 0.000 0.500
Sb1 0.000 0.000 0.000
# formation energy from raw total energies	-413	meV/atom
# distance to the lowest polymorph of the same formula	0.250	eV/atom

Record 10
# SrMoSeBr2, relaxed, DFT PBE
data_SrMoSeBr2
_chemical_formula_sum 'Sr1 Mo1 Se1 Br2'
_symmetry_space_group_name_H-M 'P 4/m m m'
_symmetry_Int_Tables_number 123
_symmetry_space_group_name_Hall '-P 4 2'
_cell_length_a 5.727
_cell_length_b 5.727
_cell_length_c 6.047
_cell_angle_alpha 90.00
_cell_angle_beta 90.00
_cell_angle_gamma 90.00
loop_
_atom_site_label
_atom_site_fract_x
_atom_site_fract_y
_atom_site_fract_z
Sr1 0.000 0.000 0.000
Mo1 0.500 0.500 0.500
Se1 0.000 0.000 0.500
Br1 0.000 0.500 0.000
# formation energy from raw total energies	97	meV/atom
# distance to the lowest polymorph of the same formula	0.726	eV/atom

Record 11
# NbCuP, relaxed, DFT PBE
data_NbCuP
_chemical_formula_sum 'Nb4 Cu4 P4'
_symmetry_space_group_name_H-M 'I m m 2'
_symmetry_Int_Tables_number 44
_cell_length_a 3.299
_cell_length_b 3.377
_cell_length_c 16.060
_cell_angle_alpha 90.00
_cell_angle_beta 90.00
_cell_angle_gamma 90.00
loop_
_symmetry_equiv_pos_as_xyz
'x,y,z'
'-x,-y,z'
'-x,y,z'
'x,-y,z'
'x+1/2,y+1/2,z+1/2'
'-x+1/2,-y+1/2,z+1/2'
'-x+1/2,y+1/2,z+1/2'
'x+1/2,-y+1/2,z+1/2'
loop_
_atom_site_label
_atom_site_fract_x
_atom_site_fract_y
_atom_site_fract_z
Nb1 0.000 0.000 0.000
Nb2 0.000 0.500 0.173
Cu1 0.000 0.000 0.392
Cu2 0.000 0.000 0.831
P1 0.000 0.000 0.554
P2 0.000 0.500 0.733
# DFT formation energy	-0.4771	eV/atom

Record 12
# Ac2La2Pm4Ho, relaxed, DFT PBE
data_Ac2La2Pm4Ho
_chemical_formula_sum 'Ac4 La4 Pm8 Ho2'
_symmetry_space_group_name_H-M 'C 1 2/m 1'
_symmetry_Int_Tables_number 12
_cell_length_a 19.440
_cell_length_b 3.784
_cell_length_c 10.053
_cell_angle_alpha 90.00
_cell_angle_beta 115.76
_cell_angle_gamma 90.00
loop_
_symmetry_equiv_pos_as_xyz
'x,y,z'
'-x,-y,-z'
'-x,y,-z'
'x,-y,z'
'x+1/2,y+1/2,z'
'-x+1/2,-y+1/2,-z'
'-x+1/2,y+1/2,-z'
'x+1/2,-y+1/2,z'
loop_
_atom_site_label
_atom_site_fract_x
_atom_site_fract_y
_atom_site_fract_z
Ac1 0.144 0.000 0.163
La1 0.164 0.500 0.503
Pm1 0.019 0.500 0.817
Pm2 0.185 0.000 0.833
Ho1 0.000 0.000 0.500
# DFT formation energy	0.0285	eV/atom